(1)
The following is a DFT calculation (PBE-GGA) of an optimized crystal structure of Ba2MgRuO5.

Cell and atoms, written as extended XYZ:
```
18
Lattice="1.744 -7.474 0.000 1.744 7.474 0.000 0.000 0.000 10.797" Properties=species:S:1:pos:R:3 pbc="T T T"
Ba 1.744 5.769 5.398
Ba 1.744 5.538 1.127
Ba 1.744 -5.538 6.525
Ba 1.744 -5.769 0.000
Mg 1.744 0.931 2.854
Mg 1.744 -0.931 8.252
Ru 1.744 4.285 8.866
Ru 1.744 -4.285 3.467
O 1.744 6.356 9.110
O 1.744 3.193 4.705
O 1.744 2.908 2.201
O 1.744 2.377 8.722
O 1.744 0.063 1.114
O 1.744 -0.063 6.512
O 1.744 -2.377 3.323
O 1.744 -2.908 7.600
O 1.744 -3.193 10.103
O 1.744 -6.356 3.712
```

Calculated volume in Å³/atom: 15.64
Symmetry: No. 36
Total moment in μB per formula unit: 2.00

=====

(2)
The following is a DFT calculation (PBE-GGA) of an optimized crystal structure of Ba3MgRu2O9.

Cell and atoms, written as extended XYZ:
```
30
Lattice="5.854 0.000 0.000 -2.927 5.070 0.000 0.000 0.000 14.119" Properties=species:S:1:pos:R:3 pbc="T T T"
Ba 0.000 0.000 3.530
Ba 0.000 0.000 10.589
Ba 0.000 3.380 1.251
Ba 0.000 3.380 5.808
Ba 2.927 1.690 8.311
Ba 2.927 1.690 12.868
Mg 0.000 0.000 0.000
Mg 0.000 0.000 7.060
Ru 0.000 3.380 9.331
Ru 0.000 3.380 11.847
Ru 2.927 1.690 2.272
Ru 2.927 1.690 4.788
O -1.396 2.573 10.589
O 0.000 1.753 8.263
O 0.000 1.753 12.916
O -1.408 4.193 8.263
O -1.408 4.193 12.916
O 1.518 0.877 1.203
O 1.518 0.877 5.856
O 1.396 2.573 10.589
O 0.000 4.992 10.589
O 2.927 0.077 3.530
O 1.530 2.496 3.530
O 1.408 4.193 8.263
O 1.408 4.193 12.916
O 4.335 0.877 1.203
O 4.335 0.877 5.856
O 2.927 3.316 1.203
O 2.927 3.316 5.856
O 4.323 2.496 3.530
```

Calculated volume in Å³/atom: 13.97
Excess energy over the best structure of this formula in the dataset in meV/atom: 0
Symmetry: No. 194
Total moment in μB per formula unit: 3.96

=====

(3)
The following is a DFT calculation (PBE-GGA) of an optimized crystal structure of BaMgRu2O8.

Cell and atoms, written as extended XYZ:
```
12
Lattice="5.620 0.000 0.000 -2.810 4.867 0.000 0.000 0.000 7.459" Properties=species:S:1:pos:R:3 pbc="T T T"
Ba 0.000 0.000 0.000
Mg 0.000 0.000 3.729
Ru 0.000 3.245 5.511
Ru 2.810 1.622 1.948
O -0.380 1.546 5.072
O -1.281 4.423 5.072
O 1.149 1.102 2.387
O 0.000 3.245 7.304
O 2.810 1.622 0.155
O 1.661 3.764 5.072
O 4.090 0.444 2.387
O 3.190 3.320 2.387
```

Calculated volume in Å³/atom: 17.00
Symmetry: No. 147
Total moment in μB per formula unit: 4.00

=====

(4)
The following is a DFT calculation (PBE-GGA) of an optimized crystal structure of BaMgRuO6.

Cell and atoms, written as extended XYZ:
```
9
Lattice="5.338 0.000 0.000 -2.669 4.623 0.000 0.000 0.000 5.632" Properties=species:S:1:pos:R:3 pbc="T T T"
Ba 0.000 0.000 0.000
Mg 0.000 3.082 2.816
Ru 2.669 1.541 2.816
O 2.094 0.121 3.912
O 1.152 1.753 1.720
O 3.243 0.121 1.720
O 1.726 2.748 3.912
O 4.186 1.753 3.912
O 3.611 2.748 1.720
```

Calculated volume in Å³/atom: 15.44
Symmetry: No. 149
Total moment in μB per formula unit: 0.00

=====

Computed values of total DFT energy (no corrections) (unit: eV per atom) for the preceding records, in sequence: -6.413 -6.712 -6.607 -6.262.